The following is a DFT calculation (PBE-GGA) of ReNiIr6 after structural relaxation.

Cell lengths 3.847, 3.847, 7.686 Å; angles 90.00, 90.00, 90.00 degrees
Element x y z (fractional)
Ir  0.500  0.500  0.000
Ir  0.500  0.500  0.500
Ir  0.500  0.000  0.252
Ir  0.000  0.500  0.252
Ir  0.500  0.000  0.748
Ir  0.000  0.500  0.748
Ni  0.000  0.000  0.000
Re  0.000  0.000  0.500

**Total moment**: 0.00 μB/cell
**Formation enthalpy at 0 K**: -7.9 kJ per mole of atoms
**Mass density**: 20.4 g/cm3
**Uncorrected energy**: -9.0061 eV per atom
**N(E_F)**: 5.8 states/eV per cell